Record 1
The following is a DFT calculation (PBE) of an optimized crystal structure of LaAgOs2.

Cell lengths 4.3451, 4.3451, 19.4287 Å; angles 90.00, 90.00, 90.00 degrees
Closest atoms and distances in Å follow each position.
Space group I-42d (No. 122)
Symmetry-distinct sites (fractional):
1 La 0.0000 0.0000 0.0000 [4 per cell]  4 Ag 3.07, 4 Os 3.12
2 Ag 0.0000 0.0000 0.5000 [4 per cell]  4 Os 2.71
3 Os 0.1241 0.2500 0.6250 [8 per cell]  2 Os 2.43, 2 Ag 2.71

Computed properties:
formation energy: 0.61 eV per atom
DOS(E_F): 1.767 states/eV/f.u.
calculated total energy: -6.95 eV/atom
E above lowest polymorph: 0.320 eV per atom

=====

Record 2
The following is a DFT calculation (PBE) of an optimized crystal structure of MnCdSe.

Cell lengths 12.8606, 3.2550, 5.6737 Å; angles 90.00, 90.00, 90.00 degrees
Closest atoms and distances in Å follow each position.
Space group Amm2 (No. 38)
Symmetry-distinct sites (fractional):
1 Mn 0.0000 0.0000 0.0000 [2 per cell]  6 Cd 2.88
2 Mn 0.5000 0.0000 0.0626 [2 per cell]  6 Se 2.43
3 Cd 0.1694 0.0000 0.3316 [4 per cell]  3 Mn 2.88, 2 Se 3.22
4 Se 0.3805 0.0000 0.7309 [4 per cell]  3 Mn 2.43

Computed properties:
DOS(E_F): 2.402 states/eV/f.u.
calculated total energy: -4.51 eV/atom
E above lowest polymorph: 0.062 eV per atom

=====

Record 3
The following is a DFT calculation (PBE) of an optimized crystal structure of LaEuIr.

Cell lengths 7.0445, 7.0445, 7.0445 Å; angles 90.00, 90.00, 90.00 degrees
Closest atoms and distances in Å follow each position.
Space group F-43m (No. 216)
Symmetry-distinct sites (fractional):
1 La 0.0000 0.0000 0.0000 [4 per cell]  4 Ir 3.05
2 Eu 0.0000 0.0000 0.5000 [4 per cell]  4 Ir 3.05
3 Ir 0.2500 0.2500 0.2500 [4 per cell]  4 La 3.05, 4 Eu 3.05

Computed properties:
formation energy: -0.50 eV per atom
DOS(E_F): 9.916 states/eV/f.u.
calculated total energy: -8.52 eV/atom
E above lowest polymorph: 0.000 eV per atom

=====

Record 4
The following is a DFT calculation (PBE) of an optimized crystal structure of PuPaTc2.

Cell lengths 3.0275, 3.0275, 29.1418 Å; angles 90.00, 90.00, 120.00 degrees
Closest atoms and distances in Å follow each position.
Space group R-3m (No. 166, hexagonal axes)
Symmetry-distinct sites (fractional):
1 Pu 0.0000 0.0000 0.0000 [3 per cell]  2 Tc 2.38
2 Pa 0.0000 0.0000 0.5000 [3 per cell]  6 Pa 3.03, 6 Tc 3.03
3 Tc 0.0000 0.0000 0.0817 [6 per cell]  1 Pu 2.38

Computed properties:
formation energy: 0.47 eV per atom
DOS(E_F): 8.119 states/eV/f.u.
calculated total energy: -10.67 eV/atom
E above lowest polymorph: 0.531 eV per atom

=====

Record 5
The following is a DFT calculation (PBE) of an optimized crystal structure of AcPr2Nd3S6.

Cell lengths 7.1272, 12.3849, 7.1428 Å; angles 90.00, 109.53, 90.00 degrees
Closest atoms and distances in Å follow each position.
Space group C2/m (No. 12)
Symmetry-distinct sites (fractional):
1 Ac 0.0000 0.0000 0.0000 [2 per cell]  6 S 2.97-2.98
2 Pr 0.0000 0.3325 0.0000 [4 per cell]  6 S 2.93
3 Nd 0.0000 0.1660 0.5000 [4 per cell]  6 S 2.86-2.90
4 Nd 0.0000 0.5000 0.5000 [2 per cell]  6 S 2.86-2.90
5 S 0.2445 0.3308 0.7422 [8 per cell]  3 Nd 2.86-2.90, 2 Pr 2.93, 1 Ac 2.98
6 S 0.2464 0.5000 0.2557 [4 per cell]  3 Nd 2.86-2.90, 2 Pr 2.93, 1 Ac 2.97

Computed properties:
DOS(E_F): 5.482 states/eV/f.u.
calculated total energy: -6.41 eV/atom

=====

Record 6
The following is a DFT calculation (PBE) of an optimized crystal structure of NaTlIn.

Cell lengths 3.7351, 3.7351, 12.0709 Å; angles 90.00, 90.00, 90.00 degrees
Closest atoms and distances in Å follow each position.
Space group I4mm (No. 107)
Symmetry-distinct sites (fractional):
1 Na 0.0000 0.0000 0.0000 [2 per cell]  4 Tl 3.34, 4 In 3.34, 4 Na 3.74
2 Tl 0.0000 0.0000 0.6695 [2 per cell]  4 In 3.28, 4 Na 3.34
3 In 0.0000 0.0000 0.3302 [2 per cell]  4 Tl 3.28, 4 Na 3.34

Computed properties:
formation energy: -0.09 eV per atom
DOS(E_F): 0.884 states/eV/f.u.
calculated total energy: -2.23 eV/atom
E above lowest polymorph: 0.015 eV per atom